Record 1
An optimized crystal structure of LiH2OsO4, computed with PBE.

V ... 12.8 Å³/atom
VASP energy ... -94.737 eV per cell
SG ... Immm, No. 71
Density ... 4.266 Mg/m³

abc: 4.937 5.862 7.079
angles: 90.00 90.00 90.00
Atoms (fractional coordinates):
Li 0.000 0.000 0.000
Li 0.500 0.500 0.500
H 0.000 0.224 0.500
H 0.000 0.776 0.500
H 0.500 0.276 0.000
H 0.500 0.724 0.000
Os 0.000 0.500 0.000
Os 0.500 0.000 0.500
O 0.243 0.229 0.500
O 0.243 0.771 0.500
O 0.257 0.271 0.000
O 0.257 0.729 0.000
O 0.743 0.271 0.000
O 0.743 0.729 0.000
O 0.757 0.229 0.500
O 0.757 0.771 0.500

---

Record 2
An optimized crystal structure of Ca2MgSi, computed with PBE.

V ... 27.8 Å³/atom
VASP energy ... -23.825 eV per cell
SG ... Amm2, No. 38
Formation energy from raw total energies ... -21.5 kJ/mol of atoms
Density ... 1.976 Mg/m³

abc: 4.505 4.218 11.721
angles: 90.00 90.00 90.00
Atoms (fractional coordinates):
Ca 0.000 0.000 0.000
Ca 0.000 0.500 0.500
Ca 0.500 0.000 0.297
Ca 0.500 0.500 0.797
Mg 0.500 0.000 0.593
Mg 0.500 0.500 0.093
Si 0.000 0.000 0.725
Si 0.000 0.500 0.225